This record from Alexandria via LeMat-Bulk describes DyTlZnCd after structural relaxation. The functional is PBE.

Summary:
Electronic total energy in eV/atom: -2.4726
Formation energy from the elements in eV/atom: -0.18

Cell and atoms, written as POSCAR:
```
DyTlZnCd
1.0
5.0774 0.0000 0.0000
2.5387 4.3972 0.0000
2.5387 1.4657 4.1457
Tl Cd Zn Dy
1 1 1 1
Cartesian
0.0000 0.0000 0.0000 Tl
7.6162 4.3972 3.1093 Cd
5.0774 2.9315 2.0729 Zn
2.5387 1.4657 1.0364 Dy
```

This record from Alexandria via LeMat-Bulk describes Rb2LaVPt after structural relaxation. The functional is PBE.

Summary:
Electronic total energy in eV/atom: -3.1927
Formation energy from the elements in eV/atom: 1.21

Cell and atoms, written as POSCAR:
```
Rb2LaVPt
1.0
5.8417 0.0000 0.0000
0.0000 5.3615 0.0000
0.0000 0.0000 5.8417
V Rb Pt La
1 2 1 1
Cartesian
0.0000 0.0000 0.0000 V
0.0000 0.0000 2.9209 Rb
2.9209 0.0000 0.0000 Rb
2.9209 2.6808 2.9209 Pt
0.0000 2.6808 0.0000 La
```

This record from Alexandria via LeMat-Bulk describes Y6Er2In after structural relaxation. The functional is PBE.

Summary:
Electronic total energy in eV/atom: -5.6359
Formation energy from the elements in eV/atom: -0.01

Cell and atoms, written as POSCAR:
```
Y6Er2In
1.0
-5.6574 2.5395 1.4400
-4.8180 -6.5882 -4.8109
-0.6781 -4.7319 8.1799
Y Er In
12 4 2
Cartesian
-8.2315 -4.3239 4.2980 Y
-5.1504 -2.9177 3.1152 Y
-2.9221 -4.4567 0.5111 Y
-6.0032 -5.8629 1.6939 Y
-9.3256 -5.0014 0.7120 Y
-6.3465 -3.2670 -0.4853 Y
-1.8280 -3.7791 4.0971 Y
-4.8072 -5.5135 5.2944 Y
-3.7913 -4.5639 -2.9169 Y
-7.2474 -6.7032 -1.5099 Y
-7.3623 -4.2166 7.7260 Y
-3.9062 -2.0773 6.3189 Y
-7.2710 -7.5495 4.2982 Er
-6.1987 0.2686 2.8394 Er
-3.8826 -1.2310 0.5109 Er
-4.9549 -9.0491 1.9697 Er
-2.1440 -4.1201 8.3783 In
-9.0096 -4.6604 -3.5692 In
```

This record from Alexandria via LeMat-Bulk describes Ba4As2N after structural relaxation. The functional is PBE.

Summary:
Electronic total energy in eV/atom: -4.3624
Relative energy among the computed polymorphs in meV/atom: 42.7
Energy relative to the elements, uncorrected in meV/atom: -746

Cell and atoms, written as POSCAR:
```
Ba4As2N
1.0
7.7179 0.0000 -0.0248
0.0000 7.4371 0.0000
-2.8677 0.0000 8.9285
Ba As N
8 4 2
Cartesian
3.0148 3.7583 2.1930 Ba
-2.0880 5.5778 8.1675 Ba
6.9382 1.8593 0.7361 Ba
3.0148 7.3973 2.1930 Ba
5.3891 1.8593 5.6043 Ba
1.8353 0.0398 6.7106 Ba
1.8353 3.6788 6.7106 Ba
-0.5390 5.5778 3.2993 Ba
5.4156 5.5778 0.5076 As
-0.5655 1.8593 8.3960 As
0.6318 1.8593 3.9239 As
4.2183 5.5778 4.9797 As
1.3767 5.5778 1.6719 N
3.4735 1.8593 7.2317 N
```

This record from Alexandria via LeMat-Bulk describes K2ZnPt after structural relaxation. The functional is PBE.

Summary:
Electronic total energy in eV/atom: -2.1726
Formation energy from the elements in eV/atom: 0.20

Cell and atoms, written as POSCAR:
```
K2ZnPt
1.0
-2.0844 -2.9309 -3.1801
4.1517 -2.3448 -0.5602
-1.1887 -2.9375 3.4864
K Pt Zn
2 1 1
Cartesian
0.0000 0.0000 0.0000 K
1.0336 -2.6379 -1.8702 K
-1.6366 -2.9342 0.1531 Pt
1.4815 -2.6412 1.4631 Zn
```

This record from Alexandria via LeMat-Bulk describes LiMgTi2H after structural relaxation. The functional is PBE.

Summary:
Electronic total energy in eV/atom: -4.4723

Cell and atoms, written as POSCAR:
```
LiMgTi2H
1.0
-3.9861 -0.5259 0.1206
0.3945 -3.5947 -2.6368
0.4067 -2.3378 3.2479
H Mg Li Ti
1 1 1 2
Cartesian
0.0000 0.0000 0.0000 H
-1.5924 -3.2292 0.3658 Mg
0.1973 -1.7974 -1.3184 Li
0.2033 -1.1689 1.6240 Ti
-1.9930 -0.2629 0.0603 Ti
```